First-principles (PBEsol) data for SrAuBr2 after structural relaxation, as listed in Alexandria via LeMat-Bulk.

abc: 4.3018 4.3018 26.6325
angles: 90.00 90.00 120.00
Last column: nearest neighbours and their distance in Å.
Element x y z (fractional)
Sr: 0.0000 0.0000 0.0000  6 Br 3.02
Sr: 0.3333 0.6667 0.6667  6 Br 3.02
Sr: 0.6667 0.3333 0.3333  6 Br 3.02
Au: 0.0000 0.0000 0.5000  2 Br 2.73
Au: 0.3333 0.6667 0.1667  2 Br 2.73
Au: 0.6667 0.3333 0.8333  2 Br 2.73
Br: 0.0000 0.0000 0.3976  1 Au 2.73, 3 Sr 3.02
Br: 0.0000 0.0000 0.6024  1 Au 2.73, 3 Sr 3.02
Br: 0.3333 0.6667 0.0643  1 Au 2.73, 3 Sr 3.02
Br: 0.3333 0.6667 0.2690  1 Au 2.73, 3 Sr 3.02
Br: 0.6667 0.3333 0.7310  1 Au 2.73, 3 Sr 3.02
Br: 0.6667 0.3333 0.9357  1 Au 2.73, 3 Sr 3.02

Summary:
Polymorph energy (0 for the lowest one)   212 meV/atom
Total magnetic moment   0.00 μB/f.u.
Raw formation energy   -820 meV/atom
Space-group type   R-3m